1.
{"formula": "MnTcSe2", "functional": "PBE", "state": "relaxed", "vol_a3_per_cell": 75.13, "formation_energy_uncorrected_ev_per_atom": 0.396, "energy_ev_per_atom": -6.230, "dos_ef_per_ev_cell": 3.48, "cell": [[3.3069, 0.0000, 0.0000], [0.0000, 3.7970, 0.0000], [0.0000, 0.0000, 5.9830]], "species": ["Mn", "Tc", "Se", "Se"], "frac_coords": [[0.0000, 0.0000, 0.0000], [0.5000, 0.0000, 0.5000], [0.0000, 0.5000, 0.5000], [0.5000, 0.5000, 0.0000]]}


2.
{"formula": "Ca2AgRu", "functional": "PBE", "state": "relaxed", "e_form_ev_per_atom": 0.30, "vol_a3_per_cell": 92.06, "energy_ev_per_atom": -3.732, "dos_ef_per_ev_cell": 3.64, "cell": [[3.2238, 0.0000, 0.0000], [0.0000, 4.6948, 0.0000], [0.0000, 0.0000, 6.0822]], "species": ["Ca", "Ca", "Ag", "Ru"], "frac_coords": [[0.0000, 0.0000, 0.0000], [0.5000, 0.5000, 0.3579], [0.5000, 0.5000, 0.8192], [0.0000, 0.0000, 0.5198]]}


3.
{"formula": "Ce8Ir6Pb", "functional": "PBE", "state": "relaxed", "e_form_ev_per_atom": -0.61, "vol_a3_per_cell": 372.86, "energy_ev_per_atom": -7.565, "dos_ef_per_ev_cell": 29.19, "cell": [[10.3156, 0.0000, 0.0000], [-5.1578, 8.9336, 0.0000], [0.0000, 0.0000, 4.0460]], "species": ["Ce", "Ce", "Ce", "Ce", "Ce", "Ce", "Ce", "Ce", "Ir", "Ir", "Ir", "Ir", "Ir", "Ir", "Pb"], "frac_coords": [[0.0544, 0.3264, 0.2372], [0.2720, 0.9456, 0.2372], [0.3264, 0.2720, 0.7628], [0.3333, 0.6667, 0.7452], [0.6667, 0.3333, 0.2548], [0.6736, 0.7280, 0.2372], [0.7280, 0.0544, 0.7628], [0.9456, 0.6736, 0.7628], [0.0970, 0.6232, 0.2582], [0.3768, 0.4738, 0.2582], [0.4738, 0.0970, 0.7418], [0.5262, 0.9030, 0.2582], [0.6232, 0.5262, 0.7418], [0.9030, 0.3768, 0.7418], [0.0000, 0.0000, 0.5000]]}


Please write out number 2 again, unchanged.
{"formula": "Ca2AgRu", "functional": "PBE", "state": "relaxed", "e_form_ev_per_atom": 0.30, "vol_a3_per_cell": 92.06, "energy_ev_per_atom": -3.732, "dos_ef_per_ev_cell": 3.64, "cell": [[3.2238, 0.0000, 0.0000], [0.0000, 4.6948, 0.0000], [0.0000, 0.0000, 6.0822]], "species": ["Ca", "Ca", "Ag", "Ru"], "frac_coords": [[0.0000, 0.0000, 0.0000], [0.5000, 0.5000, 0.3579], [0.5000, 0.5000, 0.8192], [0.0000, 0.0000, 0.5198]]}